4
Lattice="0.000 2.796 2.796 2.796 0.000 2.796 2.796 2.796 0.000" Properties=species:S:1:pos:R:3 comment="GGA-PBEsol Tc2SN, relaxed" e_form_raw_ev_per_atom=0.27 sg="Fm-3m (225)" e_tot_ev_per_atom=-8.59 crystal_system=cubic pbc="T T T"
Tc 1.398 1.398 1.398
Tc 4.194 4.194 4.194
S 0.000 0.000 0.000
N 2.796 2.796 2.796

---

5
Lattice="5.585 0.000 0.000 0.000 5.585 0.000 0.000 0.000 5.072" Properties=species:S:1:pos:R:3 comment="GGA-PBEsol SrBeAl2Ge, relaxed" formation_energy_kj_per_mol_fu=871 sg="P4/mmm (123)" e_tot_ev_per_atom=-1.99 crystal_system=tetragonal pbc="T T T"
Sr 0.000 0.000 0.000
Be 0.000 0.000 2.536
Al 0.000 2.792 0.000
Al 2.792 0.000 0.000
Ge 2.792 2.792 2.536

---

4
Lattice="3.262 0.000 0.000 0.000 3.262 0.000 0.000 0.000 6.301" Properties=species:S:1:pos:R:3 comment="GGA-PBEsol Zr2ReNi, relaxed" formation_energy_kj_per_mol_fu=-133 sg="P4/mmm (123)" e_tot_ev_per_atom=-9.76 crystal_system=tetragonal pbc="T T T"
Zr 0.000 0.000 1.569
Zr 0.000 0.000 4.733
Re 1.631 1.631 3.151
Ni 1.631 1.631 0.000

---

5
Lattice="4.039 0.000 0.000 0.000 4.039 0.000 0.000 0.000 4.498" Properties=species:S:1:pos:R:3 comment="GGA-PBEsol Mn2AgNF, relaxed" e_form_raw_ev_per_atom=0.98 sg="P4/mmm (123)" e_tot_ev_per_atom=-5.68 crystal_system=tetragonal pbc="T T T"
Mn 0.000 2.020 0.000
Mn 2.020 0.000 0.000
Ag 0.000 0.000 2.249
N 2.020 2.020 2.249
F 0.000 0.000 0.000

---

4
Lattice="-1.953 1.953 3.941 1.953 -1.953 3.941 1.953 1.953 -3.941" Properties=species:S:1:pos:R:3 comment="GGA-PBEsol MnPt2Au, relaxed" formation_energy_kj_per_mol_fu=-50 sg="I-4m2 (119)" e_tot_ev_per_atom=-7.03 crystal_system=tetragonal pbc="T T T"
Mn 0.000 0.000 0.000
Pt 1.953 0.000 1.971
Pt 0.000 0.000 3.941
Au 0.000 1.953 1.971

---

4
Lattice="-1.387 2.438 4.973 1.387 -2.438 4.973 1.387 2.438 -4.973" Properties=species:S:1:pos:R:3 comment="GGA-PBEsol Ag2HgOs, relaxed" formation_energy_kj_per_mol_fu=226 sg="Immm (71)" e_tot_ev_per_atom=-4.27 crystal_system=orthorhombic pbc="T T T"
Ag 0.000 0.000 2.411
Ag 0.000 0.000 7.534
Hg 0.000 2.438 0.000
Os 1.387 0.000 0.000

---

5
Lattice="4.909 0.000 0.000 0.000 4.909 0.000 0.000 0.000 4.909" Properties=species:S:1:pos:R:3 comment="GGA-PBEsol SrIn3N, relaxed" e_form_raw_ev_per_atom=0.26 sg="Pm-3m (221)" e_tot_ev_per_atom=-3.60 crystal_system=cubic pbc="T T T"
Sr 0.000 0.000 0.000
In 0.000 2.454 2.454
In 2.454 0.000 2.454
In 2.454 2.454 0.000
N 2.454 2.454 2.454

---

52
Lattice="9.731 0.000 0.000 -4.866 8.427 0.000 0.000 0.000 18.138" Properties=species:S:1:pos:R:3 comment="GGA-PBEsol CsPrNb6Br18, relaxed" e_form_raw_ev_per_atom=-1.14 sg="P-31c (163)" e_tot_ev_per_atom=-5.17 crystal_system=trigonal pbc="T T T"
Cs 0.000 5.618 4.534
Cs 4.866 2.809 13.603
Pr 0.000 5.618 13.603
Pr 4.866 2.809 4.534
Nb -0.592 1.586 10.264
Nb -3.788 7.122 16.943
Nb 0.592 1.586 16.943
Nb -3.196 8.147 10.264
Nb 1.670 0.281 1.195
Nb 1.078 1.306 7.874
Nb 3.788 7.122 10.264
Nb 3.196 8.147 16.943
Nb 8.062 0.281 7.874
Nb 4.274 6.841 1.195
Nb 8.653 1.306 1.195
Nb 5.457 6.841 7.874
Br -0.736 1.944 6.136
Br -3.550 6.818 2.933
Br -1.472 3.727 11.954
Br -2.374 5.289 15.253
Br -0.594 3.548 0.002
Br -2.090 6.139 9.067
Br 0.736 1.944 2.933
Br -2.814 8.093 6.136
Br 2.051 0.334 15.205
Br 1.315 1.609 12.002
Br 0.594 3.548 9.067
Br -1.496 7.168 0.002
Br 1.472 3.727 15.253
Br -0.902 7.839 11.954
Br 3.370 1.260 9.071
Br 2.776 2.288 18.136
Br 3.964 0.588 2.885
Br 2.491 3.138 6.184
Br 2.374 5.289 11.954
Br 0.902 7.839 15.253
Br 2.090 6.139 0.002
Br 1.496 7.168 9.067
Br 5.768 0.588 6.184
Br 3.393 4.701 2.885
Br 6.361 1.260 18.136
Br 4.272 4.879 9.071
Br 3.550 6.818 6.136
Br 2.814 8.093 2.933
Br 7.680 0.334 12.002
Br 4.129 6.484 15.205
Br 6.955 2.288 9.071
Br 5.460 4.879 18.136
Br 7.240 3.138 2.885
Br 6.338 4.701 6.184
Br 8.416 1.609 15.205
Br 5.602 6.484 12.002

---

9
Lattice="-4.056 4.056 1.913 4.056 -4.056 1.913 4.056 4.056 -1.913" Properties=species:S:1:pos:R:3 comment="GGA-PBEsol LiZn8, relaxed" formation_energy_kj_per_mol_fu=-48 sg="I4/mmm (139)" e_tot_ev_per_atom=-1.68 crystal_system=tetragonal pbc="T T T"
Li 0.000 0.000 0.000
Zn 2.705 0.000 0.000
Zn 5.407 0.000 0.000
Zn 0.000 2.705 0.000
Zn 2.702 2.702 0.000
Zn 1.354 -1.354 1.913
Zn 0.000 5.407 0.000
Zn -1.354 1.354 1.913
Zn 1.354 1.354 1.913

---

5
Lattice="3.823 0.000 0.000 0.000 3.823 0.000 0.000 0.000 3.823" Properties=species:S:1:pos:R:3 comment="GGA-PBEsol InPH3, relaxed" sg="Pm-3m (221)" e_tot_ev_per_atom=-2.79 crystal_system=cubic pbc="T T T"
In 0.000 0.000 0.000
P 1.912 1.912 1.912
H 0.000 0.000 1.912
H 0.000 1.912 0.000
H 1.912 0.000 0.000

---

3
Lattice="-1.955 1.955 6.517 1.955 -1.955 6.517 1.955 1.955 -6.517" Properties=species:S:1:pos:R:3 comment="GGA-PBEsol KLiMg, relaxed" formation_energy_kj_per_mol_fu=41 sg="I4mm (107)" e_tot_ev_per_atom=-1.46 crystal_system=tetragonal pbc="T T T"
K 0.000 0.000 0.000
Li 0.000 0.000 9.291
Mg 0.000 0.000 3.803

---

5
Lattice="5.079 0.000 0.000 0.000 5.079 0.000 0.000 0.000 5.079" Properties=species:S:1:pos:R:3 comment="GGA-PBEsol CrPb3N, relaxed" e_form_raw_ev_per_atom=1.27 sg="Pm-3m (221)" e_tot_ev_per_atom=-4.88 crystal_system=cubic pbc="T T T"
Cr 0.000 0.000 0.000
Pb 0.000 0.000 2.540
Pb 0.000 2.540 0.000
Pb 2.540 0.000 0.000
N 2.540 2.540 2.540

---

4
Lattice="5.960 0.000 0.000 0.000 5.960 0.000 0.000 0.000 3.426" Properties=species:S:1:pos:R:3 comment="GGA-PBEsol Ba2TaBr, relaxed" e_form_raw_ev_per_atom=0.16 sg="P-4m2 (115)" e_tot_ev_per_atom=-4.52 crystal_system=tetragonal pbc="T T T"
Ba 0.000 2.980 0.206
Ba 2.980 0.000 3.221
Ta 0.000 0.000 1.713
Br 2.980 2.980 1.713

---

4
Lattice="3.600 0.000 0.000 0.000 3.600 0.000 0.000 0.000 5.783" Properties=species:S:1:pos:R:3 comment="GGA-PBEsol Mg2ZrW, relaxed" formation_energy_kj_per_mol_fu=233 sg="P4/mmm (123)" e_tot_ev_per_atom=-5.98 crystal_system=tetragonal pbc="T T T"
Mg 0.000 0.000 1.328
Mg 0.000 0.000 4.454
Zr 1.800 1.800 2.891
W 1.800 1.800 0.000

---

28
Lattice="-4.740 4.740 4.740 4.740 -4.740 4.740 4.740 4.740 -4.740" Properties=species:S:1:pos:R:3 comment="GGA-PBEsol Na3SbO3, relaxed" e_form_raw_ev_per_atom=-1.55 sg="I-43m (217)" e_tot_ev_per_atom=-5.05 crystal_system=cubic pbc="T T T"
Na 3.760 1.160 -1.160
Na 3.760 -1.160 1.160
Na 5.719 1.160 1.160
Na 1.160 3.760 -1.160
Na 1.160 -1.160 3.760
Na 3.580 3.580 0.979
Na 3.580 0.979 3.580
Na -1.160 3.760 1.160
Na -1.160 1.160 3.760
Na 1.160 5.719 1.160
Na 1.160 1.160 5.719
Na 0.979 3.580 3.580
Sb 3.383 3.383 -3.383
Sb 3.383 -3.383 3.383
Sb 1.357 1.357 1.357
Sb -3.383 3.383 3.383
O 6.160 1.221 -1.221
O 6.160 -1.221 1.221
O 3.519 3.519 -1.420
O 3.519 -1.420 3.519
O 3.320 1.221 1.221
O 1.221 3.320 1.221
O 1.221 1.221 3.320
O 1.221 6.160 -1.221
O 1.221 -1.221 6.160
O -1.420 3.519 3.519
O -1.221 6.160 1.221
O -1.221 1.221 6.160

---

4
Lattice="3.261 -3.310 0.000 3.261 3.310 0.000 0.000 0.000 3.720" Properties=species:S:1:pos:R:3 comment="GGA-PBEsol MnSb2Au, relaxed" e_form_raw_ev_per_atom=0.22 sg="Cmmm (65)" e_tot_ev_per_atom=-5.48 crystal_system=orthorhombic pbc="T T T"
Mn 0.000 0.000 0.000
Sb 1.630 1.655 1.860
Sb 1.630 -1.655 1.860
Au 3.261 0.000 0.000

---

4
Lattice="2.862 0.000 0.000 0.000 2.862 0.000 0.000 0.000 7.358" Properties=species:S:1:pos:R:3 comment="GGA-PBEsol Al2CoHg, relaxed" formation_energy_kj_per_mol_fu=-77 sg="P4/mmm (123)" e_tot_ev_per_atom=-4.32 crystal_system=tetragonal pbc="T T T"
Al 0.000 0.000 1.395
Al 0.000 0.000 5.963
Co 1.431 1.431 0.000
Hg 1.431 1.431 3.679

---

5
Lattice="4.491 0.000 0.000 0.000 4.491 0.000 0.000 0.000 4.602" Properties=species:S:1:pos:R:3 comment="GGA-PBEsol TiPd2RhSe, relaxed" e_form_raw_ev_per_atom=0.44 sg="P4/mmm (123)" e_tot_ev_per_atom=-6.01 crystal_system=tetragonal pbc="T T T"
Ti 0.000 0.000 0.000
Pd 0.000 2.246 2.301
Pd 2.246 0.000 2.301
Rh 2.246 2.246 0.000
Se 0.000 0.000 2.301

---

18
Lattice="7.658 0.000 0.000 -3.829 6.632 0.000 0.000 0.000 5.300" Properties=species:S:1:pos:R:3 comment="GGA-PBEsol Ta5Ge3B, relaxed" formation_energy_kj_per_mol_fu=-451 sg="P6_3/mcm (193)" e_tot_ev_per_atom=-9.92 crystal_system=hexagonal pbc="T T T"
Ta -0.936 1.621 1.325
Ta -2.893 5.011 3.975
Ta 1.872 0.000 1.325
Ta 0.936 1.621 3.975
Ta 0.000 4.421 0.000
Ta 0.000 4.421 2.650
Ta 3.829 2.211 0.000
Ta 3.829 2.211 2.650
Ta 5.786 0.000 3.975
Ta 2.893 5.011 1.325
Ge -1.536 2.660 3.975
Ge -2.293 3.972 1.325
Ge 3.072 0.000 3.975
Ge 1.536 2.660 1.325
Ge 4.586 0.000 1.325
Ge 2.293 3.972 3.975
B 0.000 0.000 0.000
B 0.000 0.000 2.650

---

24
Lattice="7.249 0.000 0.000 0.000 18.513 0.000 -2.204 0.000 8.090" Properties=species:S:1:pos:R:3 comment="GGA-PBEsol CsTlI4, relaxed" e_form_raw_ev_per_atom=-0.70 sg="P2_1/c (14)" e_tot_ev_per_atom=-2.47 crystal_system=monoclinic pbc="T T T"
Cs 0.709 2.412 2.359
Cs -0.393 6.844 6.404
Cs 5.438 11.669 1.686
Cs 4.336 16.101 5.731
Tl -0.371 11.614 6.445
Tl 0.731 16.156 2.400
Tl 4.314 2.357 5.691
Tl 5.416 6.899 1.646
I -0.285 2.916 6.463
I 0.817 6.340 2.418
I 1.823 10.094 0.720
I 0.721 17.676 4.765
I 0.834 10.083 4.451
I 1.936 17.686 0.406
I 1.822 13.661 2.985
I 0.719 14.109 7.031
I 4.325 4.404 1.060
I 3.223 4.852 5.105
I 3.108 0.827 7.685
I 4.210 8.430 3.639
I 4.324 0.837 3.326
I 3.222 8.419 7.371
I 4.227 12.173 5.673
I 5.329 15.597 1.627

---

6
Lattice="0.000 4.132 4.132 4.132 0.000 4.132 4.132 4.132 0.000" Properties=species:S:1:pos:R:3 comment="GGA-PBEsol WAuBr4, relaxed" e_form_raw_ev_per_atom=1.65 sg="F-43m (216)" e_tot_ev_per_atom=-2.55 crystal_system=cubic pbc="T T T"
W 0.000 0.000 0.000
Au 2.066 2.066 2.066
Br 5.168 3.096 3.096
Br 3.096 5.168 3.096
Br 3.096 3.096 5.168
Br 5.168 5.168 5.168

---

4
Lattice="2.946 0.000 0.000 0.000 2.950 0.000 -1.179 0.000 6.883" Properties=species:S:1:pos:R:3 comment="GGA-PBEsol Be2IrPb, relaxed" formation_energy_kj_per_mol_fu=-9 sg="P2/m (10)" e_tot_ev_per_atom=-5.48 crystal_system=monoclinic pbc="T T T"
Be 0.006 0.000 1.111
Be 1.762 0.000 5.773
Ir 1.473 1.475 0.000
Pb 0.884 1.475 3.442

---

5
Lattice="4.782 0.000 0.000 0.000 4.782 0.000 0.000 0.000 4.466" Properties=species:S:1:pos:R:3 comment="GGA-PBEsol BeNbSi2P, relaxed" e_form_raw_ev_per_atom=1.35 sg="P4/mmm (123)" e_tot_ev_per_atom=-5.07 crystal_system=tetragonal pbc="T T T"
Be 0.000 0.000 0.000
Nb 0.000 0.000 2.233
Si 0.000 2.391 2.233
Si 2.391 0.000 2.233
P 2.391 2.391 0.000